Crystalline LiHo5Sb4 at its relaxed geometry. Source: the Alexandria database, functional PBE-GGA.

- SG: No. 79
- ΔE_f (raw): -0.795 eV/atom

a = 7.4767 Å, b = 7.4767 Å, c = 7.4767 Å
α = 99.90°, β = 99.90°, γ = 131.02°
Sites, in units of the cell vectors:
Li  0.0000  0.0000  0.0000
Ho  0.1141  0.7034  0.2114
Ho  0.4759  0.4759  0.0000
Ho  0.4920  0.9026  0.7886
Ho  0.7034  0.4920  0.5894
Ho  0.9026  0.1141  0.4106
Sb  0.0166  0.4051  0.8125
Sb  0.2041  0.0166  0.6115
Sb  0.4051  0.5926  0.3885
Sb  0.5926  0.2041  0.1875

=====

Crystalline Nd2Tm8Tc at its relaxed geometry. Source: the Alexandria database, functional PBE-GGA.

- SG: No. 12

a = 9.4287 Å, b = 9.4287 Å, c = 6.6677 Å
α = 94.26°, β = 94.26°, γ = 33.21°
Sites, in units of the cell vectors:
Nd  0.2231  0.2231  0.1658
Nd  0.7769  0.7769  0.8342
Tm  0.0304  0.0304  0.2688
Tm  0.1615  0.1615  0.6626
Tm  0.3590  0.3590  0.6133
Tm  0.4182  0.4182  0.1201
Tm  0.5818  0.5818  0.8799
Tm  0.6410  0.6410  0.3867
Tm  0.8385  0.8385  0.3374
Tm  0.9696  0.9696  0.7312
Tc  0.5000  0.5000  0.5000

=====

Crystalline Pr2Ga3Cu at its relaxed geometry. Source: the Alexandria database, functional PBE-GGA.

- SG: No. 69
- Excess energy over the best structure of this formula in the dataset: 0 meV/atom

a = 8.8188 Å, b = 8.6066 Å, c = 5.9506 Å
α = 71.96°, β = 68.12°, γ = 39.91°
Sites, in units of the cell vectors:
Pr  0.2422  0.7578  0.7578
Pr  0.2500  0.2500  0.2500
Pr  0.7500  0.7500  0.7500
Pr  0.7578  0.2422  0.2422
Ga  0.1640  0.6663  0.3337
Ga  0.3324  0.3324  0.6676
Ga  0.3337  0.8360  0.1640
Ga  0.6663  0.1640  0.8360
Ga  0.6676  0.6676  0.3324
Ga  0.8360  0.3337  0.6663
Cu  0.1678  0.1678  0.8322
Cu  0.8322  0.8322  0.1678

=====

Crystalline CaLa2Sm6Y3 at its relaxed geometry. Source: the Alexandria database, functional PBE-GGA.

- SG: No. 12

a = 6.3334 Å, b = 6.3334 Å, c = 12.0803 Å
α = 95.01°, β = 95.01°, γ = 120.03°
Sites, in units of the cell vectors:
Ca  0.0000  0.0000  0.0000
La  0.3331  0.6669  0.0000
La  0.6669  0.3331  0.0000
Sm  0.0861  0.4231  0.2568
Sm  0.2506  0.2506  0.7426
Sm  0.4231  0.0861  0.2568
Sm  0.5769  0.9139  0.7432
Sm  0.7494  0.7494  0.2574
Sm  0.9139  0.5769  0.7432
Y  0.1657  0.8343  0.5000
Y  0.5000  0.5000  0.5000
Y  0.8343  0.1657  0.5000

=====

Crystalline Ta2FeCoAs at its relaxed geometry. Source: the Alexandria database, functional PBE-GGA.

- SG: No. 123

a = 4.7459 Å, b = 4.7459 Å, c = 4.1846 Å
α = 90.00°, β = 90.00°, γ = 90.00°
Sites, in units of the cell vectors:
Ta  0.0000  0.5000  0.0000
Ta  0.5000  0.0000  0.0000
Fe  0.0000  0.0000  0.5000
Co  0.5000  0.5000  0.5000
As  0.0000  0.0000  0.0000

=====

Crystalline GeBrO3 at its relaxed geometry. Source: the Alexandria database, functional PBE-GGA.

- SG: No. 221
- ΔE_f (raw): -0.191 eV/atom

a = 3.7897 Å, b = 3.7897 Å, c = 3.7897 Å
α = 90.00°, β = 90.00°, γ = 90.00°
Sites, in units of the cell vectors:
Ge  0.0000  0.0000  0.0000
Br  0.5000  0.5000  0.5000
O  0.0000  0.0000  0.5000
O  0.0000  0.5000  0.0000
O  0.5000  0.0000  0.0000

=====

Crystalline Be2TlZn at its relaxed geometry. Source: the Alexandria database, functional PBE-GGA.

- SG: No. 10
- Excess energy over the best structure of this formula in the dataset: 252 meV/atom

a = 2.9531 Å, b = 4.0002 Å, c = 5.6269 Å
α = 90.00°, β = 101.90°, γ = 90.00°
Sites, in units of the cell vectors:
Be  0.1769  0.0000  0.3430
Be  0.8231  0.0000  0.6570
Tl  0.0000  0.5000  0.0000
Zn  0.5000  0.5000  0.5000

=====

Crystalline KCd3GaAg at its relaxed geometry. Source: the Alexandria database, functional PBE-GGA.

- SG: No. 63

a = 7.9937 Å, b = 7.9937 Å, c = 6.1737 Å
α = 90.00°, β = 90.00°, γ = 122.17°
Sites, in units of the cell vectors:
K  0.2210  0.7790  0.7500
K  0.7790  0.2210  0.2500
Cd  0.1960  0.1960  0.0000
Cd  0.1960  0.1960  0.5000
Cd  0.3428  0.6572  0.2500
Cd  0.6572  0.3428  0.7500
Cd  0.8040  0.8040  0.0000
Cd  0.8040  0.8040  0.5000
Ga  0.4542  0.5458  0.7500
Ga  0.5458  0.4542  0.2500
Ag  0.1428  0.8572  0.2500
Ag  0.8572  0.1428  0.7500

=====

Crystalline CaMgCd2Si at its relaxed geometry. Source: the Alexandria database, functional PBE-GGA.

- SG: No. 123
- ΔE_f (raw): 0.180 eV/atom

a = 5.3833 Å, b = 5.3833 Å, c = 4.8541 Å
α = 90.00°, β = 90.00°, γ = 90.00°
Sites, in units of the cell vectors:
Ca  0.0000  0.0000  0.0000
Mg  0.5000  0.5000  0.0000
Cd  0.0000  0.5000  0.5000
Cd  0.5000  0.0000  0.5000
Si  0.5000  0.5000  0.5000

=====

Crystalline Cs2K4Na9 at its relaxed geometry. Source: the Alexandria database, functional PBE-GGA.

- SG: No. 164

a = 6.4080 Å, b = 6.4080 Å, c = 23.6297 Å
α = 90.00°, β = 90.00°, γ = 120.00°
Sites, in units of the cell vectors:
Cs  0.3333  0.6667  0.2571
Cs  0.6667  0.3333  0.7429
K  0.3333  0.6667  0.6317
K  0.3333  0.6667  0.8884
K  0.6667  0.3333  0.1116
K  0.6667  0.3333  0.3683
Na  0.0000  0.0000  0.0000
Na  0.0000  0.0000  0.1545
Na  0.0000  0.0000  0.4267
Na  0.0000  0.0000  0.5733
Na  0.0000  0.0000  0.8455
Na  0.3333  0.6667  0.0545
Na  0.3333  0.6667  0.4662
Na  0.6667  0.3333  0.5338
Na  0.6667  0.3333  0.9455

=====

Crystalline BaSrFe2Cl8 at its relaxed geometry. Source: the Alexandria database, functional PBE-GGA.

- SG: No. 147
- ΔE_f (raw): -1.517 eV/atom

a = 6.5763 Å, b = 6.5763 Å, c = 9.6634 Å
α = 90.00°, β = 90.00°, γ = 120.00°
Sites, in units of the cell vectors:
Ba  0.0000  0.0000  0.0000
Sr  0.0000  0.0000  0.5000
Fe  0.3333  0.6667  0.7716
Fe  0.6667  0.3333  0.2284
Cl  0.0091  0.3185  0.7099
Cl  0.3094  0.9909  0.7099
Cl  0.3185  0.3094  0.2901
Cl  0.3333  0.6667  0.0054
Cl  0.6667  0.3333  0.9946
Cl  0.6815  0.6906  0.7099
Cl  0.6906  0.0091  0.2901
Cl  0.9909  0.6815  0.2901

=====

Crystalline AcIn2Ni at its relaxed geometry. Source: the Alexandria database, functional PBE-GGA.

- SG: No. 63
- Excess energy over the best structure of this formula in the dataset: 8 meV/atom

a = 4.3947 Å, b = 11.5667 Å, c = 7.7885 Å
α = 90.00°, β = 90.00°, γ = 90.00°
Sites, in units of the cell vectors:
Ac  0.0000  0.0565  0.2500
Ac  0.0000  0.9435  0.7500
Ac  0.5000  0.4435  0.7500
Ac  0.5000  0.5565  0.2500
In  0.0000  0.3405  0.0555
In  0.0000  0.3405  0.4445
In  0.0000  0.6595  0.5555
In  0.0000  0.6595  0.9445
In  0.5000  0.1595  0.5555
In  0.5000  0.1595  0.9445
In  0.5000  0.8405  0.0555
In  0.5000  0.8405  0.4445
Ni  0.0000  0.2249  0.7500
Ni  0.0000  0.7751  0.2500
Ni  0.5000  0.2751  0.2500
Ni  0.5000  0.7249  0.7500

=====

For each record above, in turn, the calculated VASP energy values are -4.924; -5.051; -4.353; -4.926; -7.693; -4.424; -2.229; -1.577; -1.990; -1.146; -4.459; -4.227 eV/atom.